Record 1
This record from the Open Quantum Materials Database describes a geometry-optimized Pt structure. The functional is PBE.

For the formation energy, the calculation gives 0.271 eV/f.u. The calculation puts the relative energy among the computed polymorphs at 271 meV/atom. Its total energy is -57.85 eV per cell. As for the size of the total moment: 0.00 μB/f.u. Its symmetry is P4/mbm. The density is 19.404 g/cm3.

Unit cell a=6.9269 b=6.9269 c=3.4794 alpha=90.00 beta=90.00 gamma=90.00
With the nearest neighbours (Å) after each atom.
Fractional coordinates of all 10 atoms:
Pt 0.0000 0.0000 0.0000  4 Pt 2.65
Pt 0.5000 0.5000 0.0000  4 Pt 2.65
Pt 0.6478 0.8522 0.0000  9 Pt 2.64-2.89
Pt 0.1478 0.6478 0.0000  9 Pt 2.64-2.89
Pt 0.3510 0.8510 0.5000  7 Pt 2.64-2.92
Pt 0.3522 0.1478 0.0000  9 Pt 2.64-2.89
Pt 0.6490 0.1490 0.5000  7 Pt 2.64-2.92
Pt 0.1490 0.3510 0.5000  7 Pt 2.64-2.92
Pt 0.8510 0.6490 0.5000  7 Pt 2.64-2.92
Pt 0.8522 0.3522 0.0000  9 Pt 2.64-2.89

***

Record 2
This record from the Open Quantum Materials Database describes a geometry-optimized ErGa2Cl2 structure. The functional is PBE.

Its total energy is -34.30 eV per cell. As for the size of the total moment: 0.02 μB/f.u. Its symmetry is I4_1/amd. The density is 5.683 g/cm3.

Unit cell a=8.4545 b=8.4545 c=8.4545 alpha=142.68 beta=142.68 gamma=53.81
With the nearest neighbours (Å) after each atom.
Fractional coordinates of all 10 atoms:
Cl 0.8211 0.8211 0.0000  3 Er 2.70-2.91
Cl 0.9289 0.4289 0.5000  3 Er 2.70-2.91
Cl 0.1789 0.1789 0.0000  3 Er 2.70-2.91
Cl 0.5711 0.0711 0.5000  3 Er 2.70-2.91
Ga 0.3750 0.1250 0.7500  2 Ga 2.71
Ga 0.3750 0.6250 0.7500  2 Ga 2.71
Ga 0.8750 0.6250 0.2500  2 Ga 2.71
Ga 0.3750 0.6250 0.2500  2 Ga 2.71
Er 0.0000 0.0000 0.0000  6 Cl 2.70-2.91
Er 0.7500 0.2500 0.5000  6 Cl 2.70-2.91

***

Record 3
This record from the Open Quantum Materials Database describes a geometry-optimized LuSi2 structure. The functional is PBE.

Its total energy is -14.86 eV per cell. As for the size of the total moment: 0.00 μB/f.u. Its symmetry is Fm-3m. The density is 5.638 g/cm3.

Unit cell a=4.5833 b=4.5833 c=4.5833 alpha=60.00 beta=60.00 gamma=60.00
With the nearest neighbours (Å) after each atom.
Fractional coordinates of all 3 atoms:
Si 0.7500 0.7500 0.7500  4 Lu 2.81
Si 0.2500 0.2500 0.2500  4 Lu 2.81
Lu 0.0000 0.0000 0.0000  8 Si 2.81

***

Record 4
This record from the Open Quantum Materials Database describes a geometry-optimized LiCdO4 structure. The functional is PBE.

The calculation puts the relative energy among the computed polymorphs at 358 meV/atom. Its total energy is -24.29 eV per cell. Its symmetry is P1. The density is 4.489 g/cm3.

Unit cell a=3.5380 b=4.2668 c=4.5081 alpha=85.83 beta=88.86 gamma=87.91
With the nearest neighbours (Å) after each atom.
Fractional coordinates of all 6 atoms:
Cd 0.5481 0.4610 0.9998  4 O 2.11-2.17
O 0.0705 0.2843 0.8027  1 Li 2.03, 2 Cd 2.11-2.17, 1 O 2.24
O 0.5253 0.9524 0.6488  1 O 1.34
O 0.0250 0.6395 0.1930  1 Li 2.01, 2 Cd 2.11-2.17
O 0.5465 0.9766 0.3499  1 O 1.34
Li 0.0372 0.9558 0.5003  6 O 1.86-2.03